(1)
Compound: PN2
Source: Alexandria via LeMat-Bulk
Functional: PBE
Structure: relaxed

Values from the calculation:
Its energy is -7.149 eV/atom. The formation energy (no corrections) comes out at 0.20 eV/atom.

The structure in CIF format:
```
data_PN2
_cell_length_a 4.8132
_cell_length_b 4.8132
_cell_length_c 7.5031
_cell_angle_alpha 90.00
_cell_angle_beta 90.00
_cell_angle_gamma 90.00
_symmetry_space_group_name_H-M 'P 1'
_symmetry_Int_Tables_number 1
_symmetry_space_group_name_Hall 'P 1'
loop_
_atom_site_label
_atom_site_type_symbol
_atom_site_fract_x
_atom_site_fract_y
_atom_site_fract_z
P1 P 0.4946 0.7398 0.6251
P2 P 0.0054 0.2602 0.1251
P3 P 0.5054 0.2398 0.8749
P4 P 0.9946 0.7602 0.3749
N1 N 0.7372 0.6464 0.4908
N2 N 0.7628 0.3536 0.9908
N3 N 0.2628 0.1464 0.0092
N4 N 0.2372 0.8536 0.5092
N5 N 0.3957 0.4766 0.7409
N6 N 0.1043 0.5234 0.2409
N7 N 0.6043 0.9766 0.7591
N8 N 0.8957 0.0234 0.2591
```

***

(2)
Compound: Al2PbSe
Source: Alexandria via LeMat-Bulk
Functional: PBE
Structure: relaxed

Values from the calculation:
Its energy is -3.766 eV/atom. The formation energy (no corrections) comes out at -0.10 eV/atom.

The structure in CIF format:
```
data_Al2PbSe
_cell_length_a 6.1033
_cell_length_b 6.1033
_cell_length_c 7.5100
_cell_angle_alpha 66.02
_cell_angle_beta 66.02
_cell_angle_gamma 90.00
_symmetry_space_group_name_H-M 'P 1'
_symmetry_Int_Tables_number 1
_symmetry_space_group_name_Hall 'P 1'
loop_
_atom_site_label
_atom_site_type_symbol
_atom_site_fract_x
_atom_site_fract_y
_atom_site_fract_z
Pb1 Pb 0.0000 0.0000 0.0000
Pb2 Pb 0.7500 0.2500 0.5000
Al1 Al 0.6087 0.1250 0.2500
Al2 Al 0.1413 0.6250 0.2500
Al3 Al 0.3750 0.3913 0.7500
Al4 Al 0.8750 0.8587 0.7500
Se1 Se 0.5000 0.5000 0.0000
Se2 Se 0.2500 0.7500 0.5000
```

***

(3)
Compound: LiPaCr4S8
Source: Alexandria via LeMat-Bulk
Functional: PBE
Structure: relaxed

Values from the calculation:
Its energy is -6.749 eV/atom. The formation energy (no corrections) comes out at -0.83 eV/atom.

The structure in CIF format:
```
data_LiPaCr4S8
_cell_length_a 6.8527
_cell_length_b 6.8527
_cell_length_c 7.3665
_cell_angle_alpha 62.28
_cell_angle_beta 62.28
_cell_angle_gamma 60.00
_symmetry_space_group_name_H-M 'P 1'
_symmetry_Int_Tables_number 1
_symmetry_space_group_name_Hall 'P 1'
loop_
_atom_site_label
_atom_site_type_symbol
_atom_site_fract_x
_atom_site_fract_y
_atom_site_fract_z
Li1 Li 0.3701 0.3701 0.8898
Pa1 Pa 0.9942 0.9942 0.0175
Cr1 Cr 0.6426 0.6426 0.0723
Cr2 Cr 0.0266 0.4451 0.5017
Cr3 Cr 0.4451 0.0266 0.5017
Cr4 Cr 0.0266 0.0266 0.5017
S1 S 0.2554 0.7663 0.7229
S2 S 0.7663 0.2554 0.7229
S3 S 0.2554 0.2554 0.7229
S4 S 0.2473 0.2473 0.2581
S5 S 0.7326 0.2344 0.3003
S6 S 0.2344 0.7326 0.3003
S7 S 0.7326 0.7326 0.3003
S8 S 0.7708 0.7708 0.6876
```